Compound: Rb3PdI6
Source: Alexandria via LeMat-Bulk
Functional: GGA-PBE
Structure: optimized geometry Values from VASP.

The structure in Quantum ESPRESSO input format:
```
&SYSTEM
  ibrav = 0, nat = 20, ntyp = 3
/
ATOMIC_SPECIES
Rb 85.47 Rb.upf
Pd 106.42 Pd.upf
I 126.90 I.upf
ATOMIC_POSITIONS crystal
Rb 0.1342 0.8658 0.5000
Rb 0.1799 0.4419 0.7139
Rb 0.4419 0.1799 0.2139
Rb 0.5581 0.8201 0.7139
Rb 0.8201 0.5581 0.2139
Rb 0.8658 0.1342 0.0000
Pd 0.2991 0.7009 0.0081
Pd 0.7009 0.2991 0.5081
I 0.0829 0.6659 0.9759
I 0.1673 0.1713 0.9508
I 0.1713 0.1673 0.4508
I 0.3050 0.6950 0.4779
I 0.3341 0.9171 0.9759
I 0.4265 0.5735 0.0033
I 0.5735 0.4265 0.5033
I 0.6659 0.0829 0.4759
I 0.6950 0.3050 0.9779
I 0.8287 0.8327 0.9508
I 0.8327 0.8287 0.4508
I 0.9171 0.3341 0.4759
CELL_PARAMETERS angstrom
8.0039 -10.4538 0.0000
8.0039 10.4538 0.0000
0.0000 0.0000 6.1347
```

Volume, Å³/atom: 51.33
Magnetization, μB per cell: 1.764
Energy relative to the lowest polymorph listed for this composition, meV/atom: 47
Formation energy without anion corrections, eV/atom: -0.84

---

Compound: Na3PuU3N8
Source: Alexandria via LeMat-Bulk
Functional: GGA-PBE
Structure: optimized geometry Values from VASP.

The structure in Quantum ESPRESSO input format:
```
&SYSTEM
  ibrav = 0, nat = 15, ntyp = 4
/
ATOMIC_SPECIES
Na 22.99 Na.upf
Pu 244.00 Pu.upf
U 238.03 U.upf
N 14.01 N.upf
ATOMIC_POSITIONS crystal
Na 0.0000 0.5000 0.5000
Na 0.5000 0.0000 0.5000
Na 0.5000 0.5000 0.0000
Pu 0.5000 0.5000 0.5000
U 0.0000 0.0000 0.5000
U 0.0000 0.5000 0.0000
U 0.5000 0.0000 0.0000
N 0.2097 0.7280 0.7280
N 0.2289 0.2289 0.2289
N 0.2720 0.2720 0.7903
N 0.2720 0.7903 0.2720
N 0.7280 0.2097 0.7280
N 0.7280 0.7280 0.2097
N 0.7711 0.7711 0.7711
N 0.7903 0.2720 0.2720
CELL_PARAMETERS angstrom
3.5062 2.0243 5.6790
-3.5062 2.0243 5.6790
0.0000 -4.0486 5.6790
```

Volume, Å³/atom: 16.12
Magnetization, μB per cell: 5.071
Formation energy without anion corrections, eV/atom: -0.99

---

Compound: CeMnPt
Source: Alexandria via LeMat-Bulk
Functional: GGA-PBE
Structure: optimized geometry Values from VASP.

The structure in Quantum ESPRESSO input format:
```
&SYSTEM
  ibrav = 0, nat = 6, ntyp = 3
/
ATOMIC_SPECIES
Ce 140.12 Ce.upf
Mn 54.94 Mn.upf
Pt 195.08 Pt.upf
ATOMIC_POSITIONS crystal
Ce 0.1341 0.1341 0.1341
Ce 0.8659 0.8659 0.8659
Mn 0.2967 0.2967 0.2967
Mn 0.7033 0.7033 0.7033
Pt 0.4239 0.4239 0.4239
Pt 0.5761 0.5761 0.5761
CELL_PARAMETERS angstrom
2.3522 1.3580 6.5580
-2.3522 1.3580 6.5580
0.0000 -2.7161 6.5580
```

Volume, Å³/atom: 20.95
Magnetization, μB per cell: 7.202
Formation enthalpy at 0 K, eV/f.u.: -1.07

---

Compound: CaAc4Pr2
Source: Alexandria via LeMat-Bulk
Functional: GGA-PBE
Structure: optimized geometry Values from VASP.

The structure in Quantum ESPRESSO input format:
```
&SYSTEM
  ibrav = 0, nat = 14, ntyp = 3
/
ATOMIC_SPECIES
Ca 40.08 Ca.upf
Ac 227.00 Ac.upf
Pr 140.91 Pr.upf
ATOMIC_POSITIONS crystal
Ca 0.0315 0.9685 0.7500
Ca 0.9685 0.0315 0.2500
Ac 0.0000 0.0000 0.0000
Ac 0.0000 0.0000 0.5000
Ac 0.2776 0.7224 0.2500
Ac 0.3653 0.6347 0.6372
Ac 0.3653 0.6347 0.8628
Ac 0.6347 0.3653 0.1372
Ac 0.6347 0.3653 0.3628
Ac 0.7224 0.2776 0.7500
Pr 0.3180 0.6820 0.0623
Pr 0.3180 0.6820 0.4377
Pr 0.6820 0.3180 0.5623
Pr 0.6820 0.3180 0.9377
CELL_PARAMETERS angstrom
1.9465 -8.5593 0.0000
1.9465 8.5593 0.0000
0.0000 0.0000 18.2244
```

Volume, Å³/atom: 43.38
Magnetization, μB per cell: 0.000
Formation enthalpy at 0 K, eV/f.u.: 0.87
Energy relative to the lowest polymorph listed for this composition, meV/atom: 0

---

Compound: PS2I2
Source: Alexandria via LeMat-Bulk
Functional: GGA-PBE
Structure: optimized geometry Values from VASP.

The structure in Quantum ESPRESSO input format:
```
&SYSTEM
  ibrav = 0, nat = 10, ntyp = 3
/
ATOMIC_SPECIES
P 30.97 P.upf
S 32.06 S.upf
I 126.90 I.upf
ATOMIC_POSITIONS crystal
P 0.0128 0.0128 0.1575
P 0.9872 0.9872 0.8425
S 0.0682 0.0682 0.3287
S 0.1695 0.1695 0.1388
S 0.8305 0.8305 0.8612
S 0.9318 0.9318 0.6713
I 0.1547 0.1547 0.6738
I 0.4257 0.4257 0.6840
I 0.5743 0.5743 0.3160
I 0.8453 0.8453 0.3262
CELL_PARAMETERS angstrom
5.7563 -3.0108 0.0000
5.7563 3.0108 0.0000
-5.6782 0.0000 12.6636
```

Volume, Å³/atom: 43.90
Magnetization, μB per cell: 0.000
Formation energy without anion corrections, eV/atom: 0.13

---

Compound: Sr2ScNi
Source: Alexandria via LeMat-Bulk
Functional: GGA-PBE
Structure: optimized geometry Values from VASP.

The structure in Quantum ESPRESSO input format:
```
&SYSTEM
  ibrav = 0, nat = 4, ntyp = 3
/
ATOMIC_SPECIES
Sr 87.62 Sr.upf
Sc 44.96 Sc.upf
Ni 58.69 Ni.upf
ATOMIC_POSITIONS crystal
Sr 0.2500 0.7500 0.5000
Sr 0.7500 0.2500 0.5000
Sc 0.0000 0.0000 0.0000
Ni 0.5000 0.5000 0.0000
CELL_PARAMETERS angstrom
-2.3879 2.3879 5.1307
2.3879 -2.3879 5.1307
2.3879 2.3879 -5.1307
```

Volume, Å³/atom: 29.25
Magnetization, μB per cell: 0.377
Formation enthalpy at 0 K, eV/f.u.: 2.08
Energy relative to the lowest polymorph listed for this composition, meV/atom: 495

---

> Which of these has the highest magnetization?

CeMnPt

---

> Number 3 is which compound?

CeMnPt